(1)
A geometry-optimized Ta2OsPb structure, computed with PBE.

Structure (extended XYZ):
```
4
Lattice="-6.5507 3.1068 6.1164 -7.2852 0.0614 6.0743 -5.0198 1.1004 7.9727" Properties=species:S:1:pos:R:3 pbc="T T T"
Os -9.6231 2.1785 10.2905
Pb -14.2111 3.2171 15.1966
Ta -18.7149 4.2367 20.0128
Ta -4.5903 1.0391 4.9086
```

Calculated values
**Fermi-level density of states**: 3.5 states/eV/f.u.
**Formation energy**: 0.43 eV per atom

---

(2)
A geometry-optimized Zr2TiPb3O9 structure, computed with PBE.

Structure (extended XYZ):
```
15
Lattice="5.8480 0.0000 0.0000 -2.9240 5.0646 0.0000 0.0000 0.0000 7.3069" Properties=species:S:1:pos:R:3 pbc="T T T"
Zr 2.9240 1.6882 4.9623
Zr 0.0000 0.0000 0.1797
Ti 0.0000 3.3764 2.5896
Pb 0.0000 3.3764 6.6295
Pb 2.9240 1.6882 1.6504
Pb 0.0000 0.0000 4.0970
O 0.0000 5.0615 3.4819
O 2.9240 3.4497 5.9777
O 0.0000 1.7955 1.1681
O 1.4594 2.5338 3.4819
O 4.4495 0.8074 5.9777
O -1.3690 4.1668 1.1681
O -1.4594 2.5338 3.4819
O 1.3985 0.8074 5.9777
O 1.3690 4.1668 1.1681
```

Calculated values
**Formation energy without anion corrections**: -2.37 eV per atom
**Fermi-level density of states**: 0.0 states/eV/f.u.
**Energy above the most stable polymorph in this dataset**: 0.011 eV per atom

---

(3)
A geometry-optimized CsOs3S structure, computed with PBE.

Structure (extended XYZ):
```
5
Lattice="-0.3206 4.2890 2.5892 0.2385 -2.5785 4.3008 5.0043 0.3977 -0.0391" Properties=species:S:1:pos:R:3 pbc="T T T"
Cs 0.0000 0.0000 0.0000
S 2.4611 1.0541 3.4255
Os 0.1192 -1.2893 2.1504
Os 2.5021 0.1989 -0.0195
Os -0.1603 2.1445 1.2946
```

Calculated values
**Formation energy without anion corrections**: 4.26 eV per atom
**Fermi-level density of states**: 7.4 states/eV/f.u.
**Energy above the most stable polymorph in this dataset**: 2.435 eV per atom

---

| no. | electronic total energy (eV per atom) | theoretical density (kg/m³) |
| --- | --- | --- |
| 1 | -9.234 | 15930 |
| 2 | -7.757 | 7642 |
| 3 | -3.472 | 9655 |